Entry 1:
The following is a DFT calculation (PBE) of a relaxed structure of Ca2HgRh.

Unit cell a=3.5892 b=4.3994 c=6.2415 alpha=90.00 beta=90.00 gamma=90.00
Atoms (fractional coordinates):
Ca 0.0000 0.0000 0.0000
Ca 0.5000 0.5000 0.3565
Hg 0.0000 0.0000 0.5394
Rh 0.5000 0.5000 0.8461

Computed properties:
For the energy of formation from the pure elements, the calculation gives -182 meV per atom. The space-group type is Pmm2. The size of the total moment is 0.0 μB/f.u.

---

Entry 2:
The following is a DFT calculation (PBE) of a relaxed structure of TbNd2Ho4Th.

Unit cell a=5.0734 b=5.0957 c=9.9946 alpha=90.00 beta=90.00 gamma=90.00
Atoms (fractional coordinates):
Tb 0.0000 0.0000 0.0000
Nd 0.0000 0.0000 0.5000
Nd 0.5000 0.5000 0.0000
Ho 0.0023 0.5000 0.7466
Ho 0.4979 0.0000 0.2535
Ho 0.5021 0.0000 0.7465
Ho 0.9977 0.5000 0.2534
Th 0.5000 0.5000 0.5000

Computed properties:
For the energy of formation from the pure elements, the calculation gives 30 meV per atom. The space-group type is P2/m. The size of the total moment is 0.0 μB/f.u.

---

Entry 3:
The following is a DFT calculation (PBE) of a relaxed structure of Sb2TeHRu.

Unit cell a=5.0600 b=5.0600 c=5.3619 alpha=90.00 beta=90.00 gamma=90.00
Atoms (fractional coordinates):
Sb 0.0000 0.5000 0.0000
Sb 0.5000 0.0000 0.0000
Te 0.0000 0.0000 0.5000
H 0.5000 0.5000 0.5000
Ru 0.0000 0.0000 0.0000

Computed properties:
The space-group type is P4/mmm. Its energy above the lowest structure with this stoichiometry is 35 kJ/mol of formula units. The size of the total moment is 0.0 μB/f.u.

---

Entry 4:
The following is a DFT calculation (PBE) of a relaxed structure of HfBMo2As.

Unit cell a=4.1759 b=4.1759 c=4.5852 alpha=90.00 beta=90.00 gamma=90.00
Atoms (fractional coordinates):
Hf 0.0000 0.0000 0.0000
B 0.0000 0.0000 0.5000
Mo 0.0000 0.5000 0.5000
Mo 0.5000 0.0000 0.5000
As 0.5000 0.5000 0.0000

Computed properties:
For the energy of formation from the pure elements, the calculation gives 91 meV per atom. The space-group type is P4/mmm. The size of the total moment is 0.0 μB/f.u.